[1]
Density functional theory data (PBE) for a relaxed Pm2ThPb3 crystal.

```
Pm2ThPb3
1.0
-1.130 -5.341 -3.513
5.883 -2.401 1.749
-6.222 -1.258 6.791
Pm Th Pb
4 2 6
Cartesian
0.458 -4.830 1.156 Pm
2.494 -2.757 3.350 Pm
-3.962 -6.243 1.677 Pm
-1.926 -4.171 3.871 Pm
-6.374 -5.548 4.362 Th
4.906 -3.453 0.665 Th
1.960 -2.250 -0.211 Pb
-3.428 -6.750 5.238 Pb
-0.472 -1.569 2.516 Pb
1.027 -5.357 4.702 Pb
-2.495 -3.644 0.325 Pb
-0.996 -7.432 2.511 Pb
```

## Properties
space-group type: No. 15
volume: 30.5 A^3/atom

***

[2]
Density functional theory data (PBE) for a relaxed Pm7ThPb5 crystal.

```
Pm7ThPb5
1.0
6.603 0.000 0.000
3.301 7.953 -0.153
3.301 -0.179 7.952
Pm Th Pb
7 1 5
Cartesian
6.603 3.195 3.206 Pm
6.603 5.984 6.004 Pm
3.301 2.295 5.168 Pm
3.301 5.161 2.312 Pm
3.301 1.807 1.813 Pm
6.603 6.392 0.856 Pm
6.603 0.835 6.394 Pm
6.603 0.698 0.700 Th
8.276 7.772 3.506 Pb
4.929 7.772 3.506 Pb
8.276 3.481 7.783 Pb
4.929 3.481 7.783 Pb
9.904 5.549 5.567 Pb
```

## Properties
space-group type: No. 44
volume: 32.1 A^3/atom

***

[3]
Density functional theory data (PBE) for a relaxed PmTh2Pb2 crystal.

```
PmTh2Pb2
1.0
3.620 0.000 0.000
0.000 9.463 0.000
0.000 0.000 9.463
Pm Th Pb
2 4 4
Cartesian
0.000 0.000 0.000 Pm
0.000 4.732 4.732 Pm
0.000 3.524 8.256 Th
0.000 8.256 5.939 Th
0.000 5.939 1.208 Th
0.000 1.208 3.524 Th
1.810 1.620 6.352 Pb
1.810 6.352 7.843 Pb
1.810 7.843 3.112 Pb
1.810 3.112 1.620 Pb
```

## Properties
space-group type: No. 127
volume: 32.4 A^3/atom

***

[4]
Density functional theory data (PBE) for a relaxed PmThPb2 crystal.

```
PmThPb2
1.0
4.587 0.000 0.000
0.000 5.101 0.000
0.000 0.000 5.101
Pb Th Pm
2 1 1
Cartesian
0.000 0.000 2.550 Pb
0.000 2.550 0.000 Pb
2.293 2.550 2.550 Th
2.293 0.000 0.000 Pm
```

## Properties
space-group type: No. 123
volume: 29.8 A^3/atom

***

[5]
Density functional theory data (PBE) for a relaxed Pm4ThPb5 crystal.

```
Pm4ThPb5
1.0
-0.124 1.077 -3.433
2.678 -2.265 -0.807
-15.318 -16.468 -4.613
Pm Th Pb
4 1 5
Cartesian
-3.070 -3.301 -0.924 Pm
-6.130 -6.590 -1.846 Pm
-9.188 -9.878 -2.767 Pm
-12.248 -13.168 -3.688 Pm
0.000 0.000 0.000 Th
-0.274 -2.262 -2.587 Pb
-3.320 -5.537 -3.504 Pb
-6.382 -8.828 -4.426 Pb
-9.444 -12.120 -5.348 Pb
-12.490 -15.395 -6.265 Pb
```

## Properties
space-group type: No. 123
volume: 29.7 A^3/atom

***

[6]
Density functional theory data (PBE) for a relaxed Pm3ThPb4 crystal.

```
Pm3ThPb4
1.0
6.456 0.000 0.000
0.000 6.456 0.000
0.000 0.000 12.878
Pm Th Pb
6 2 8
Cartesian
3.643 4.842 0.000 Pm
0.416 4.843 3.219 Pm
3.644 1.614 3.220 Pm
0.415 1.614 6.439 Pm
3.644 1.614 9.658 Pm
0.416 4.843 9.660 Pm
0.416 1.614 0.000 Th
3.644 4.842 6.439 Th
0.415 4.842 0.000 Pb
3.644 1.614 0.000 Pb
0.416 1.614 3.220 Pb
3.644 4.842 3.219 Pb
0.416 4.842 6.439 Pb
3.643 1.614 6.439 Pb
3.644 4.842 9.659 Pb
0.416 1.614 9.659 Pb
```

## Properties
space-group type: No. 139
volume: 33.5 A^3/atom

***

| no. | uncorrected energy (eV per atom) | DFT formation energy (eV/atom) | DOS(E_F) (states/eV/f.u.) |
| --- | --- | --- | --- |
| 1 | -5.11 | -0.436 | 3.97 |
| 2 | -4.85 | -0.292 | 12.75 |
| 3 | -5.45 | -0.047 | 6.59 |
| 4 | -5.27 | -0.377 | 4.62 |
| 5 | -4.96 | -0.461 | 9.21 |
| 6 | -4.93 | -0.368 | 8.37 |